PrDySnSe | PBE | optimized geometry

- Calculated volume: 28.973 A^3/atom
- Uncorrected formation energy: -1.2716 eV per atom
- VASP energy: -21.96 eV per cell
- Space-group type: P4/mmm (123)

Cell: 4.3281 4.3281 6.1866 Å, 90.00 90.00 90.00°
Positions (direct):
Pr 0.0000 0.0000 0.0000
Dy 0.5000 0.5000 0.5000
Sn 0.0000 0.0000 0.5000
Se 0.5000 0.5000 0.0000



ThSc2Au | PBE | optimized geometry

- Calculated volume: 25.349 A^3/atom
- Distance to the lowest polymorph of the same formula: 17.7 kJ per mole of atoms
- Energy relative to the elements: -0.220 eV/atom
- VASP energy: -24.24 eV per cell
- Space-group type: R3m (160)

Cell: 9.8560 9.8560 9.8560 Å, 20.36 20.36 20.36°
Positions (direct):
Th 0.0000 0.0000 0.0000
Sc 0.5675 0.5675 0.5675
Sc 0.7631 0.7631 0.7631
Au 0.1650 0.1650 0.1650



| no. | magnetic moment (μB per cell) |
| --- | --- |
| 1 | 0.00 |
| 2 | 0.00 |